Record 1
The following is a PBE calculation of a geometry-optimized TaSi2 structure, from Alexandria via LeMat-Bulk.

abc: 4.8417 4.4783 8.2319
angles: 90.00 90.00 90.00
With the nearest neighbours (Å) after each atom.
Positions (direct):
Ta  0.1271  0.2500  0.1306  10 Si 2.57-2.87
Ta  0.3729  0.7500  0.6306  10 Si 2.57-2.87
Ta  0.6271  0.2500  0.3694  10 Si 2.57-2.87
Ta  0.8729  0.7500  0.8694  10 Si 2.57-2.87
Si  0.1311  0.2500  0.4789  5 Ta 2.57-2.87, 3 Si 2.60-2.62
Si  0.1468  0.2500  0.7968  3 Si 2.54-2.62, 5 Ta 2.67-2.84
Si  0.3532  0.7500  0.2968  3 Si 2.54-2.62, 5 Ta 2.67-2.84
Si  0.3689  0.7500  0.9789  5 Ta 2.57-2.87, 3 Si 2.60-2.62
Si  0.6311  0.2500  0.0211  5 Ta 2.57-2.87, 3 Si 2.60-2.62
Si  0.6468  0.2500  0.7032  3 Si 2.54-2.62, 5 Ta 2.67-2.84
Si  0.8532  0.7500  0.2032  3 Si 2.54-2.62, 5 Ta 2.67-2.84
Si  0.8689  0.7500  0.5211  5 Ta 2.57-2.87, 3 Si 2.60-2.62

Computed properties:
* formation energy from raw total energies: -0.8 eV per formula unit
* D(E_F): 4.90 states/eV/cell

***

Record 2
The following is a PBE calculation of a geometry-optimized BeIn2HgH structure, from Alexandria via LeMat-Bulk.

abc: 4.9162 4.9162 4.0416
angles: 90.00 90.00 90.00
With the nearest neighbours (Å) after each atom.
Positions (direct):
Be  0.0000  0.0000  0.0000  8 In 3.18, 4 Hg 3.48
In  0.0000  0.5000  0.5000  2 H 2.46
In  0.5000  0.0000  0.5000  2 H 2.46
Hg  0.5000  0.5000  0.0000  2 H 2.02
H  0.5000  0.5000  0.5000  2 Hg 2.02

Computed properties:
* uncorrected energy: -9.8 eV per cell
* D(E_F): 2.27 states/eV/cell

***

Record 3
The following is a PBE calculation of a geometry-optimized Er6Bi2Te3Pb structure, from Alexandria via LeMat-Bulk.

abc: 9.8037 9.8037 8.7556
angles: 102.48 102.48 25.94
With the nearest neighbours (Å) after each atom.
Positions (direct):
Er  0.0000  0.0000  0.2407  2 Pb 3.05, 1 Bi 3.11, 3 Te 3.14-3.16
Er  0.0000  0.0000  0.7593  2 Pb 3.05, 1 Bi 3.11, 3 Te 3.14-3.16
Er  0.3333  0.3333  0.4185  3 Bi 3.09-3.10, 3 Te 3.11
Er  0.3376  0.3376  0.9177  1 Pb 3.03, 2 Bi 3.10, 3 Te 3.12-3.15
Er  0.6624  0.6624  0.0823  1 Pb 3.03, 2 Bi 3.10, 3 Te 3.12-3.15
Er  0.6667  0.6667  0.5815  3 Bi 3.09-3.10, 3 Te 3.11
Bi  0.1670  0.1670  0.3339  6 Er 3.09-3.11
Bi  0.8330  0.8330  0.6661  6 Er 3.09-3.11
Te  0.1686  0.1686  0.8334  6 Er 3.11-3.15
Te  0.5000  0.5000  0.5000  6 Er 3.11-3.16
Te  0.8314  0.8314  0.1666  6 Er 3.11-3.15
Pb  0.5000  0.5000  0.0000  6 Er 3.03-3.05

Computed properties:
* formation energy from raw total energies: -11.9 eV per formula unit
* D(E_F): 4.09 states/eV/cell

***

Record 4
The following is a PBE calculation of a geometry-optimized Ba2Zn15Pd2 structure, from Alexandria via LeMat-Bulk.

abc: 7.0517 7.0517 7.0517
angles: 83.12 83.12 83.12
With the nearest neighbours (Å) after each atom.
Positions (direct):
Ba  0.1537  0.1537  0.1537  1 Pd 3.26, 18 Zn 3.40-3.64
Ba  0.8463  0.8463  0.8463  1 Pd 3.26, 18 Zn 3.40-3.64
Zn  0.0000  0.5000  0.5000  8 Zn 2.65-2.66, 2 Pd 2.82
Zn  0.1608  0.1608  0.6431  8 Zn 2.66-2.97, 1 Pd 2.78
Zn  0.1608  0.6431  0.1608  8 Zn 2.66-2.97, 1 Pd 2.78
Zn  0.2230  0.5000  0.7770  6 Zn 2.59-2.77
Zn  0.2230  0.7770  0.5000  6 Zn 2.59-2.77
Zn  0.3569  0.8392  0.8392  8 Zn 2.66-2.97, 1 Pd 2.78
Zn  0.5000  0.0000  0.5000  8 Zn 2.65-2.66, 2 Pd 2.82
Zn  0.5000  0.2230  0.7770  6 Zn 2.59-2.77
Zn  0.5000  0.5000  0.0000  8 Zn 2.65-2.66, 2 Pd 2.82
Zn  0.5000  0.7770  0.2230  6 Zn 2.59-2.77
Zn  0.6431  0.1608  0.1608  8 Zn 2.66-2.97, 1 Pd 2.78
Zn  0.7770  0.2230  0.5000  6 Zn 2.59-2.77
Zn  0.7770  0.5000  0.2230  6 Zn 2.59-2.77
Zn  0.8392  0.3569  0.8392  8 Zn 2.66-2.97, 1 Pd 2.78
Zn  0.8392  0.8392  0.3569  8 Zn 2.66-2.97, 1 Pd 2.78
Pd  0.3934  0.3934  0.3934  12 Zn 2.78-2.97, 1 Pd 2.90
Pd  0.6066  0.6066  0.6066  12 Zn 2.78-2.97, 1 Pd 2.90

Computed properties:
* D(E_F): 9.07 states/eV/cell
* E_form: -0.2249 eV per atom

***

Record 5
The following is a PBE calculation of a geometry-optimized BaBe2Br structure, from Alexandria via LeMat-Bulk.

abc: 5.4460 5.4460 5.4460
angles: 125.00 125.00 81.54
With the nearest neighbours (Å) after each atom.
Positions (direct):
Ba  0.0000  0.0000  0.0000  4 Br 3.25, 8 Be 3.25-3.56
Be  0.2500  0.7500  0.5000  4 Be 3.25, 4 Ba 3.25, 4 Br 3.56
Be  0.5000  0.5000  0.0000  4 Br 3.25, 4 Be 3.25, 4 Ba 3.56
Br  0.7500  0.2500  0.5000  8 Be 3.25-3.56, 4 Ba 3.25

Computed properties:
* formation energy from raw total energies: 1.8 eV per formula unit
* D(E_F): 3.83 states/eV/cell

***

Record 6
The following is a PBE calculation of a geometry-optimized BaPmHg2 structure, from Alexandria via LeMat-Bulk.

abc: 9.5883 9.5883 9.5883
angles: 25.36 25.36 25.36
With the nearest neighbours (Å) after each atom.
Positions (direct):
Ba  0.0000  0.0000  0.0000  6 Hg 3.56
Pm  0.5000  0.5000  0.5000  6 Hg 3.17
Hg  0.2400  0.2400  0.2400  3 Pm 3.17
Hg  0.7600  0.7600  0.7600  3 Pm 3.17

Computed properties:
* D(E_F): 3.43 states/eV/cell
* E_form: -0.3116 eV per atom

***

Record 7
The following is a PBE calculation of a geometry-optimized BP2SeO structure, from Alexandria via LeMat-Bulk.

abc: 5.4867 5.4867 2.5852
angles: 90.00 90.00 90.00
With the nearest neighbours (Å) after each atom.
Positions (direct):
B  0.0000  0.0000  0.0000  2 O 1.29
P  0.0000  0.5000  0.0000  2 P 2.59, 2 B 2.74
P  0.5000  0.0000  0.0000  2 P 2.59, 2 B 2.74
Se  0.5000  0.5000  0.5000  2 Se 2.59
O  0.0000  0.0000  0.5000  2 B 1.29

Computed properties:
* formation energy from raw total energies: 1.2 eV per formula unit
* D(E_F): 1.75 states/eV/cell

***

Record 8
The following is a PBE calculation of a geometry-optimized Sr2ScTlBr8 structure, from Alexandria via LeMat-Bulk.

abc: 6.7741 9.3414 7.0840
angles: 90.00 90.32 90.00
With the nearest neighbours (Å) after each atom.
Positions (direct):
Sr  0.0000  0.2460  0.0000  6 Br 3.01-3.18
Sr  0.0000  0.7540  0.0000  6 Br 3.01-3.18
Sc  0.5000  0.0000  0.5000  6 Br 2.65-2.77
Tl  0.5000  0.5000  0.5000  6 Br 3.18-3.34
Br  0.2358  0.5000  0.8696  2 Sr 3.01, 1 Tl 3.18
Br  0.2580  0.0000  0.8141  1 Sc 2.77
Br  0.2759  0.2024  0.3474  1 Sc 2.65
Br  0.2759  0.7976  0.3474  1 Sc 2.65
Br  0.7241  0.2024  0.6526  1 Sc 2.65
Br  0.7241  0.7976  0.6526  1 Sc 2.65
Br  0.7420  0.0000  0.1859  1 Sc 2.77
Br  0.7642  0.5000  0.1304  2 Sr 3.01, 1 Tl 3.18

Computed properties:
* formation energy from raw total energies: -20.8 eV per formula unit
* D(E_F): 0.00 states/eV/cell

***

Record 9
The following is a PBE calculation of a geometry-optimized Be4MoAs structure, from Alexandria via LeMat-Bulk.

abc: 4.4705 4.4705 4.4705
angles: 60.00 60.00 60.00
With the nearest neighbours (Å) after each atom.
Positions (direct):
Be  0.1217  0.1217  0.1217  6 Be 2.18-2.29
Be  0.1217  0.1217  0.6350  6 Be 2.18-2.29
Be  0.1217  0.6350  0.1217  6 Be 2.18-2.29
Be  0.6350  0.1217  0.1217  6 Be 2.18-2.29
Mo  0.7500  0.7500  0.7500  12 Be 2.61, 4 As 2.74
As  0.5000  0.5000  0.5000  12 Be 2.63, 4 Mo 2.74

Computed properties:
* D(E_F): 3.19 states/eV/cell
* E_form: 0.0620 eV per atom

***

Record 10
The following is a PBE calculation of a geometry-optimized LiHfSi2Ru structure, from Alexandria via LeMat-Bulk.

abc: 4.5024 4.5024 4.2648
angles: 90.00 90.00 90.00
With the nearest neighbours (Å) after each atom.
Positions (direct):
Li  0.0000  0.0000  0.0000  2 Ru 2.13
Hf  0.5000  0.5000  0.0000  8 Si 3.10, 4 Li 3.18
Si  0.0000  0.5000  0.5000  2 Ru 2.25
Si  0.5000  0.0000  0.5000  2 Ru 2.25
Ru  0.0000  0.0000  0.5000  2 Li 2.13, 4 Si 2.25

Computed properties:
* formation energy from raw total energies: 1.2 eV per formula unit
* D(E_F): 4.07 states/eV/cell

***

Record 11
The following is a PBE calculation of a geometry-optimized BaCa3Pd structure, from Alexandria via LeMat-Bulk.

abc: 5.8221 5.8221 11.5961
angles: 90.00 90.00 120.00
With the nearest neighbours (Å) after each atom.
Positions (direct):
Ba  0.3333  0.6667  0.2500  5 Ca 3.36-3.73
Ba  0.6667  0.3333  0.7500  5 Ca 3.36-3.73
Ca  0.0000  0.0000  0.2500  2 Pd 2.90
Ca  0.0000  0.0000  0.7500  2 Pd 2.90
Ca  0.3333  0.6667  0.5718  3 Pd 3.46, 1 Ba 3.73, 3 Ca 3.75
Ca  0.3333  0.6667  0.9282  3 Pd 3.46, 1 Ba 3.73, 3 Ca 3.75
Ca  0.6667  0.3333  0.0718  3 Pd 3.46, 1 Ba 3.73, 3 Ca 3.75
Ca  0.6667  0.3333  0.4282  3 Pd 3.46, 1 Ba 3.73, 3 Ca 3.75
Pd  0.0000  0.0000  0.0000  2 Ca 2.90
Pd  0.0000  0.0000  0.5000  2 Ca 2.90

Computed properties:
* D(E_F): 11.71 states/eV/cell
* E_form: -0.1116 eV per atom

***

Record 12
The following is a PBE calculation of a geometry-optimized SmMgP structure, from Alexandria via LeMat-Bulk.

abc: 8.8441 8.8441 8.8441
angles: 32.00 32.00 32.00
With the nearest neighbours (Å) after each atom.
Positions (direct):
Sm  0.1066  0.1066  0.1066  4 P 2.78-2.83
Sm  0.8934  0.8934  0.8934  4 P 2.78-2.83
Mg  0.3175  0.3175  0.3175  1 P 2.52
Mg  0.6825  0.6825  0.6825  1 P 2.52
P  0.2173  0.2173  0.2173  1 Mg 2.52, 1 Sm 2.78
P  0.7827  0.7827  0.7827  1 Mg 2.52, 1 Sm 2.78

Computed properties:
* D(E_F): 2.52 states/eV/cell
* E_form: -0.6753 eV per atom